# MnRhPbO6 | the Alexandria database | PBE with a Hubbard U | relaxed
data_MnRhPbO6
_cell_length_a 4.723
_cell_length_b 4.723
_cell_length_c 9.654
_cell_angle_alpha 90.00
_cell_angle_beta 90.00
_cell_angle_gamma 90.00
_space_group_name_H-M_alt 'P 42 n m'
_space_group_IT_number 102
loop_
_space_group_symop_operation_xyz
'x,y,z'
'-y+1/2,x+1/2,z+1/2'
'-x,-y,z'
'y+1/2,-x+1/2,z+1/2'
'-x+1/2,y+1/2,z+1/2'
'y,x,z'
'x+1/2,-y+1/2,z+1/2'
'-y,-x,z'
loop_
_atom_site_label
_atom_site_type_symbol
_atom_site_fract_x
_atom_site_fract_y
_atom_site_fract_z
Mn1 Mn 0.000 0.000 0.000
Rh1 Rh 0.000 0.000 0.335
Pb1 Pb 0.000 0.000 0.668
O1 O 0.175 0.175 0.165
O2 O 0.201 0.201 0.489
O3 O 0.204 0.204 0.846
# total moment	2.0	μB/f.u.
# final energy	-112.48	eV for the cell shown